(1)
! Cu2Ag2Os PBE relaxed; values from VASP
&SYSTEM
  ibrav = 0, nat = 5, ntyp = 3
/
ATOMIC_SPECIES
Os 190.23 Os.upf
Cu 63.55 Cu.upf
Ag 107.87 Ag.upf
CELL_PARAMETERS angstrom
3.645 0.000 0.000
0.000 3.645 0.000
1.822 1.822 5.981
ATOMIC_POSITIONS crystal
Os 0.000 0.000 0.000
Cu 0.408 0.408 0.184
Cu 0.592 0.592 0.816
Ag 0.750 0.250 0.500
Ag 0.250 0.750 0.500
! energy relative to the elements	0.941	eV/atom
! distance to the lowest polymorph of the same formula	318	meV per atom
! SG	I4/mmm
! VASP energy	-4.084	eV/atom
! V	79	Å³ per cell
! M_tot	0.000	μB/f.u.

=====

(2)
! CaAsI6 PBE relaxed; values from VASP
&SYSTEM
  ibrav = 0, nat = 8, ntyp = 3
/
ATOMIC_SPECIES
Ca 40.08 Ca.upf
As 74.92 As.upf
I 126.90 I.upf
CELL_PARAMETERS angstrom
-4.265 -4.433 4.360
-2.887 -6.362 -2.807
2.941 -6.838 2.385
ATOMIC_POSITIONS crystal
Ca 0.500 0.500 0.500
As 0.000 0.000 0.000
I 0.058 0.414 0.754
I 0.773 0.057 0.755
I 0.588 0.226 0.244
I 0.227 0.943 0.245
I 0.942 0.586 0.246
I 0.412 0.774 0.756
! E_form (uncorrected)	-4.24	eV/f.u.
! SG	P-1
! VASP energy	-2.525	eV/atom
! V	320	Å³ per cell
! M_tot	0.000	μB/f.u.

=====

Q: What is the M_tot in the second record?
A: 0.000 μB/f.u.